Entry 1:
First-principles (SCAN) data for a PBEsol-optimized structure of Nb5Cu4Si4, as listed in Alexandria via LeMat-Bulk.

Lattice parameters (Å, degrees): 10.1445 10.1445 3.5765 90.00 90.00 90.00
Space group I4/m (No. 87)
One atom of each set of equivalent atoms:
Nb: 0.0000 0.0000 0.0000 [2 per cell]
Nb: 0.1294 0.1960 0.5000 [8 per cell]
Cu: 0.0809 0.6032 0.5000 [8 per cell]
Si: 0.0588 0.7466 0.0000 [8 per cell]

Summary:
ρ: 7.5 g/cm3
ΔE_f (raw): -0.5358 eV per atom

---

Entry 2:
First-principles (SCAN) data for a PBEsol-optimized structure of TaNb2CuSn, as listed in Alexandria via LeMat-Bulk.

Lattice parameters (Å, degrees): 4.9591 4.9591 4.9610 90.00 90.00 90.00
Space group P4/mmm (No. 123)
One atom of each set of equivalent atoms:
Ta: 0.0000 0.0000 0.0000 [1 per cell]
Nb: 0.0000 0.5000 0.5000 [2 per cell]
Cu: 0.5000 0.5000 0.0000 [1 per cell]
Sn: 0.0000 0.0000 0.5000 [1 per cell]

Summary:
ρ: 7.5 g/cm3
formation energy from the elements: 2.09 eV per atom

---

Entry 3:
First-principles (SCAN) data for a PBEsol-optimized structure of TiNb3Cu, as listed in Alexandria via LeMat-Bulk.

Lattice parameters (Å, degrees): 4.5928 4.5928 4.5928 90.00 90.00 90.00
Space group Pm-3m (No. 221)
One atom of each set of equivalent atoms:
Ti: 0.0000 0.0000 0.0000 [1 per cell]
Nb: 0.0000 0.0000 0.5000 [3 per cell]
Cu: 0.5000 0.5000 0.5000 [1 per cell]

Summary:
ρ: 6.7 g/cm3
formation energy from the elements: 1.41 eV per atom

---

Entry 4:
First-principles (SCAN) data for a PBEsol-optimized structure of NbCuW3, as listed in Alexandria via LeMat-Bulk.

Lattice parameters (Å, degrees): 4.4567 4.4567 4.4567 90.00 90.00 90.00
Space group Pm-3m (No. 221)
One atom of each set of equivalent atoms:
Nb: 0.0000 0.0000 0.0000 [1 per cell]
Cu: 0.5000 0.5000 0.5000 [1 per cell]
W: 0.0000 0.5000 0.5000 [3 per cell]

Summary:
ρ: 13.3 g/cm3
formation energy from the elements: 1.74 eV per atom

---

Entry 5:
First-principles (SCAN) data for a PBEsol-optimized structure of NdCu6, as listed in Alexandria via LeMat-Bulk.

Lattice parameters (Å, degrees): 7.9520 4.9896 9.9540 90.00 90.00 90.00
Space group Pnma (No. 62)
One atom of each set of equivalent atoms:
Nd: 0.2400 0.2500 0.0638 [4 per cell]
Cu: 0.0628 0.7500 0.0958 [4 per cell]
Cu: 0.0654 0.0051 0.3086 [8 per cell]
Cu: 0.0982 0.2500 0.5165 [4 per cell]
Cu: 0.1476 0.7500 0.8565 [4 per cell]
Cu: 0.1822 0.2500 0.7554 [4 per cell]

Summary:
ρ: 8.8 g/cm3
formation energy from the elements: -0.14 eV per atom

---

Entry 6:
First-principles (SCAN) data for a PBEsol-optimized structure of NdCu5, as listed in Alexandria via LeMat-Bulk.

Lattice parameters (Å, degrees): 5.0415 5.0415 4.0089 90.00 90.00 120.00
Space group P6/mmm (No. 191)
One atom of each set of equivalent atoms:
Nd: 0.0000 0.0000 0.0000 [1 per cell]
Cu: 0.0000 0.5000 0.5000 [3 per cell]
Cu: 0.3333 0.6667 0.0000 [2 per cell]

Summary:
ρ: 8.7 g/cm3
formation energy from the elements: -0.18 eV per atom

---

Entry 7:
First-principles (SCAN) data for a PBEsol-optimized structure of NdCuNi4, as listed in Alexandria via LeMat-Bulk.

Lattice parameters (Å, degrees): 4.8425 8.5729 3.9340 90.00 90.00 90.00
Space group Cmmm (No. 65)
One atom of each set of equivalent atoms:
Nd: 0.0000 0.0000 0.0000 [2 per cell]
Cu: 0.0000 0.5000 0.5000 [2 per cell]
Ni: 0.0000 0.3244 0.0000 [4 per cell]
Ni: 0.2500 0.2500 0.5000 [4 per cell]

Summary:
ρ: 9.0 g/cm3
formation energy from the elements: -0.23 eV per atom

---

Entry 8:
First-principles (SCAN) data for a PBEsol-optimized structure of Nd4Cu2O7, as listed in Alexandria via LeMat-Bulk.

Lattice parameters (Å, degrees): 12.6380 3.7474 8.4013 90.00 109.57 90.00
Space group C2/m (No. 12)
One atom of each set of equivalent atoms:
Nd: 0.1423 0.0000 0.3332 [4 per cell]
Nd: 0.1580 0.0000 0.8183 [4 per cell]
Cu: 0.0000 0.5000 0.0000 [2 per cell]
Cu: 0.0000 0.5000 0.5000 [2 per cell]
O: 0.0000 0.0000 0.5000 [2 per cell]
O: 0.0098 0.5000 0.7902 [4 per cell]
O: 0.2247 0.0000 0.1152 [4 per cell]
O: 0.2470 0.0000 0.6195 [4 per cell]

Summary:
ρ: 7.2 g/cm3
ΔE_f (raw): -2.9277 eV per atom

---

Entry 9:
First-principles (SCAN) data for a PBEsol-optimized structure of Nd5Cu5O13, as listed in Alexandria via LeMat-Bulk.

Lattice parameters (Å, degrees): 8.3528 8.3528 3.7730 90.00 90.00 90.00
Space group P4/m (No. 83)
One atom of each set of equivalent atoms:
Nd: 0.0000 0.0000 0.0000 [1 per cell]
Nd: 0.2392 0.6558 0.0000 [4 per cell]
Cu: 0.0629 0.3403 0.5000 [4 per cell]
Cu: 0.5000 0.5000 0.5000 [1 per cell]
O: 0.0614 0.3192 0.0000 [4 per cell]
O: 0.1150 0.7987 0.5000 [4 per cell]
O: 0.2572 0.4584 0.5000 [4 per cell]
O: 0.5000 0.5000 0.0000 [1 per cell]

Summary:
ρ: 7.9 g/cm3
ΔE_f (raw): -2.3373 eV per atom

---

Entry 10:
First-principles (SCAN) data for a PBEsol-optimized structure of NdCu2O4, as listed in Alexandria via LeMat-Bulk.

Lattice parameters (Å, degrees): 5.7491 5.7491 9.6480 90.00 90.00 90.00
Space group I4_1/a (No. 88, origin choice 2)
One atom of each set of equivalent atoms:
Nd: 0.0000 0.2500 0.1250 [4 per cell]
Cu: 0.0000 0.0000 0.5000 [8 per cell]
O: 0.1431 0.0316 0.3244 [16 per cell]

Summary:
ρ: 7.0 g/cm3
ΔE_f (raw): -1.8957 eV per atom

---

Entry 11:
First-principles (SCAN) data for a PBEsol-optimized structure of Nd12Cu6O25, as listed in Alexandria via LeMat-Bulk.

Lattice parameters (Å, degrees): 16.9826 3.7087 18.1775 90.00 110.90 90.00
Space group C2/m (No. 12)
One atom of each set of equivalent atoms:
Nd: 0.0317 0.0000 0.2355 [4 per cell]
Nd: 0.0528 0.5000 0.4294 [4 per cell]
Nd: 0.1444 0.0000 0.1040 [4 per cell]
Nd: 0.1524 0.5000 0.7327 [4 per cell]
Nd: 0.1683 0.0000 0.9219 [4 per cell]
Nd: 0.2393 0.0000 0.4026 [4 per cell]
Cu: 0.0161 0.5000 0.9269 [4 per cell]
Cu: 0.1037 0.0000 0.5810 [4 per cell]
Cu: 0.1888 0.5000 0.2522 [4 per cell]
O: 0.0000 0.0000 0.5000 [2 per cell]
O: 0.0179 0.0000 0.9123 [4 per cell]
O: 0.0265 0.0000 0.6645 [4 per cell]
O: 0.0703 0.5000 0.8090 [4 per cell]
O: 0.0846 0.5000 0.1634 [4 per cell]
O: 0.1035 0.5000 0.5819 [4 per cell]
O: 0.1155 0.5000 0.0133 [4 per cell]
O: 0.1255 0.5000 0.3423 [4 per cell]
O: 0.1700 0.0000 0.4904 [4 per cell]
O: 0.1876 0.0000 0.2531 [4 per cell]
O: 0.2090 0.0000 0.6591 [4 per cell]
O: 0.2250 0.0000 0.8149 [4 per cell]
O: 0.2504 0.0000 0.0572 [4 per cell]

Summary:
ρ: 7.8 g/cm3
ΔE_f (raw): -2.8015 eV per atom

---

Entry 12:
First-principles (SCAN) data for a PBEsol-optimized structure of NdCuSO, as listed in Alexandria via LeMat-Bulk.

Lattice parameters (Å, degrees): 3.8862 3.8862 8.2738 90.00 90.00 90.00
Space group P4/nmm (No. 129, origin choice 2)
One atom of each set of equivalent atoms:
Nd: 0.2500 0.2500 0.1485 [2 per cell]
Cu: 0.2500 0.7500 0.5000 [2 per cell]
S: 0.2500 0.2500 0.6652 [2 per cell]
O: 0.2500 0.7500 0.0000 [2 per cell]

Summary:
ρ: 6.8 g/cm3
ΔE_f (raw): -2.2020 eV per atom

---

Number 8 is which compound?
Nd4Cu2O7

---

Which formula does entry 9 have?
Nd5Cu5O13

---

The lowest ρ belongs to which entry?
TiNb3Cu

---

Number 3 is which compound?
TiNb3Cu